ErZrS4: relaxed, PBE-GGA.

abc: 3.8725 6.2423 6.2423
angles: 90.62 90.00 90.00
Last column: nearest neighbours and their distance in Å.
Atoms (fractional coordinates):
Er (0.5000, 0.0000, 0.0000)  6 S 2.67-2.73
Zr (0.0000, 0.5000, 0.5000)  6 S 2.55-2.58
S (0.5000, 0.6926, 0.3074)  2 Zr 2.58, 1 Er 2.73
S (0.0000, 0.7902, 0.7902)  1 Zr 2.55, 2 Er 2.67
S (0.0000, 0.2098, 0.2098)  1 Zr 2.55, 2 Er 2.67
S (0.5000, 0.3074, 0.6926)  2 Zr 2.58, 1 Er 2.73

Output
Energy: -6.3174 eV per atom
Space-group type: No. 65
Formation energy (no corrections): -1.38 eV per atom
DOS at the Fermi energy: 5.62 states/eV/f.u.
Total moment: 0.00 μB/f.u.

La3YSb2: relaxed, PBE-GGA.

abc: 6.5951 6.5523 10.0926
angles: 108.94 109.07 90.00
Last column: nearest neighbours and their distance in Å.
Atoms (fractional coordinates):
Sb (0.6206, 0.8634, 0.7268)  7 La 3.34-3.41, 2 Y 3.35
Sb (0.3794, 0.1366, 0.2732)  7 La 3.34-3.41, 2 Y 3.35
Sb (0.8939, 0.6366, 0.2732)  7 La 3.34-3.41, 2 Y 3.35
Sb (0.1061, 0.3634, 0.7268)  7 La 3.34-3.41, 2 Y 3.35
Y (0.0000, 0.2500, 0.0000)  2 Y 3.28, 2 La 3.30, 4 Sb 3.35
Y (0.0000, 0.7500, 0.0000)  2 Y 3.28, 2 La 3.30, 4 Sb 3.35
La (0.5000, 0.7500, 0.0000)  2 La 3.28, 2 Y 3.30, 4 Sb 3.40
La (0.5706, 0.3229, 0.6457)  5 Sb 3.34-3.41
La (0.9248, 0.1771, 0.3543)  5 Sb 3.34-3.41
La (0.4294, 0.6771, 0.3543)  5 Sb 3.34-3.41
La (0.5000, 0.2500, 0.0000)  2 La 3.28, 2 Y 3.30, 4 Sb 3.40
La (0.0752, 0.8229, 0.6457)  5 Sb 3.34-3.41

Output
Distance to the lowest polymorph of the same formula: 9 meV per atom
Energy: -5.7843 eV per atom
Space-group type: No. 72
Formation energy (no corrections): -0.87 eV per atom
DOS at the Fermi energy: 6.18 states/eV/f.u.
Total moment: 0.00 μB/f.u.

Mn2NbTcAs: relaxed, PBE-GGA.

abc: 4.5871 4.5871 4.8797
angles: 90.00 90.00 90.00
Last column: nearest neighbours and their distance in Å.
Atoms (fractional coordinates):
Mn (0.5000, 0.0000, 0.0000)  2 Nb 2.29
Mn (0.0000, 0.5000, 0.0000)  2 Nb 2.29
Tc (0.5000, 0.5000, 0.5000)  4 As 3.24, 8 Mn 3.35
Nb (0.0000, 0.0000, 0.0000)  4 Mn 2.29, 2 As 2.44
As (0.0000, 0.0000, 0.5000)  2 Nb 2.44

Output
Energy: -7.1890 eV per atom
Space-group type: No. 123
ΔH_f (0 K): 1496 meV/atom
DOS at the Fermi energy: 5.39 states/eV/f.u.
Total moment: 8.48 μB/f.u.

Ba6SrRhAu: relaxed, PBE-GGA.

abc: 8.5078 8.5165 8.1375
angles: 89.93 90.19 60.21
Last column: nearest neighbours and their distance in Å.
Atoms (fractional coordinates):
Rh (0.3331, 0.3331, 0.4998)  6 Ba 3.09
Sr (0.9998, 0.9996, 0.0011)  6 Ba 4.05-4.06
Ba (0.3868, 0.0165, 0.7233)  1 Rh 3.09, 1 Au 3.29
Ba (0.5963, 0.3870, 0.7239)  1 Rh 3.09, 1 Au 3.28
Ba (0.0189, 0.5952, 0.7232)  1 Rh 3.09, 1 Au 3.28
Ba (0.5943, 0.0184, 0.2766)  1 Rh 3.09, 1 Au 3.28
Ba (0.0156, 0.3884, 0.2761)  1 Rh 3.09, 1 Au 3.29
Ba (0.3880, 0.5947, 0.2756)  1 Rh 3.09, 1 Au 3.28
Au (0.6668, 0.6672, 0.5003)  6 Ba 3.28-3.29

Output
Energy: -2.7860 eV per atom
Space-group type: No. 1
ΔH_f (0 K): -136 meV/atom
DOS at the Fermi energy: 8.90 states/eV/f.u.
Total moment: 0.00 μB/f.u.

KZrOsO6: relaxed, PBE-GGA.

abc: 7.6010 7.3518 7.5312
angles: 119.22 120.31 90.00
Last column: nearest neighbours and their distance in Å.
Atoms (fractional coordinates):
O (0.4534, 0.7034, 0.9067)  2 Os 1.90
O (0.4449, 0.0744, 0.2396)  1 Os 1.88
O (0.7948, 0.0744, 0.2396)  1 Os 1.88
O (0.4449, 0.6652, 0.2396)  1 Os 1.88
O (0.1745, 0.9245, 0.3491)  2 Zr 2.07
O (0.5551, 0.9256, 0.7604)  1 Os 1.88
O (0.7948, 0.6652, 0.2396)  1 Os 1.88
O (0.8255, 0.0755, 0.6509)  2 Zr 2.07
O (0.5551, 0.3348, 0.7604)  1 Os 1.88
O (0.2052, 0.9256, 0.7604)  1 Os 1.88
O (0.5466, 0.2966, 0.0933)  2 Os 1.90
O (0.2052, 0.3348, 0.7604)  1 Os 1.88
Zr (0.5000, 0.0000, 0.5000)  6 O 2.07-2.13
Zr (0.0000, 0.0000, 0.5000)  6 O 2.07-2.13
Os (0.5000, 0.5000, 0.0000)  6 O 1.88-1.90
Os (0.5000, 0.0000, 0.0000)  6 O 1.88-1.90
K (0.0923, 0.3423, 0.1845)  1 O 2.86
K (0.9077, 0.6577, 0.8155)  1 O 2.86

Output
Energy: -7.4713 eV per atom
Space-group type: No. 74
Formation energy (no corrections): -1.85 eV per atom
DOS at the Fermi energy: 2.20 states/eV/f.u.
Total moment: 1.04 μB/f.u.

Ac2La2Pm7: relaxed, PBE-GGA.

abc: 3.7588 11.0441 11.0441
angles: 66.56 80.20 80.20
Last column: nearest neighbours and their distance in Å.
Atoms (fractional coordinates):
Pm (0.1603, 0.7023, 0.9771)  8 Pm 3.48-3.76, 2 La 3.71
Pm (0.8397, 0.0229, 0.2977)  8 Pm 3.48-3.76, 2 La 3.71
Pm (0.3024, 0.8139, 0.5813)  8 Pm 3.59-4.01, 2 La 3.74
Pm (0.1778, 0.1851, 0.4593)  7 Pm 3.48-3.76, 2 La 3.61, 2 Ac 3.72
Pm (0.6976, 0.4187, 0.1861)  8 Pm 3.59-4.01, 2 La 3.74
Pm (0.8222, 0.5407, 0.8149)  7 Pm 3.48-3.76, 2 La 3.61, 2 Ac 3.72
Pm (0.5000, 0.9126, 0.0874)  2 La 3.38, 6 Pm 3.51-3.76, 2 Ac 3.72
Ac (0.0000, 0.6473, 0.3527)  8 Pm 3.72-4.05, 4 Ac 3.76-3.87
Ac (0.5000, 0.3679, 0.6321)  4 Pm 3.72, 2 La 3.73, 4 Ac 3.76-3.87
La (0.3762, 0.2451, 0.0025)  7 Pm 3.38-3.74, 1 Ac 3.73, 2 La 3.76
La (0.6238, 0.9975, 0.7549)  7 Pm 3.38-3.74, 1 Ac 3.73, 2 La 3.76

Output
Distance to the lowest polymorph of the same formula: 0 meV per atom
Energy: -4.5590 eV per atom
Space-group type: No. 44
ΔH_f (0 K): 107 meV/atom
DOS at the Fermi energy: 16.32 states/eV/f.u.
Total moment: 0.00 μB/f.u.